# 1
# LaPm2PrY, relaxed, DFT PBE
data_LaPm2PrY
_chemical_formula_sum 'La2 Pm4 Pr2 Y2'
_cell_length_a 7.314
_cell_length_b 7.314
_cell_length_c 7.286
_cell_angle_alpha 90.00
_cell_angle_beta 90.00
_cell_angle_gamma 108.70
_space_group_name_H-M_alt 'P 1'
_space_group_IT_number 1
_space_group_name_Hall 'P 1'
loop_
_atom_site_label
_atom_site_fract_x
_atom_site_fract_y
_atom_site_fract_z
La1 0.231 0.769 0.750
La2 0.769 0.231 0.250
Pm1 0.188 0.188 0.000
Pm2 0.188 0.188 0.500
Pm3 0.812 0.812 0.000
Pm4 0.812 0.812 0.500
Pr1 0.489 0.511 0.750
Pr2 0.511 0.489 0.250
Y1 0.228 0.772 0.250
Y2 0.772 0.228 0.750
# - calculated formation energy (eV per atom) = 0.350
# - Fermi-level density of states (states/eV/cell) = 16.7
# - space group = No. 63

=====

# 2
# La2Pm5PrY, relaxed, DFT PBE
data_La2Pm5PrY
_chemical_formula_sum 'La4 Pm10 Pr2 Y2'
_cell_length_a 10.245
_cell_length_b 10.245
_cell_length_c 10.245
_cell_angle_alpha 128.95
_cell_angle_beta 128.95
_cell_angle_gamma 75.08
_space_group_name_H-M_alt 'P 1'
_space_group_IT_number 1
_space_group_name_Hall 'P 1'
loop_
_atom_site_label
_atom_site_fract_x
_atom_site_fract_y
_atom_site_fract_z
La1 0.119 0.619 0.737
La2 0.381 0.119 0.500
La3 0.619 0.881 0.500
La4 0.881 0.381 0.263
Pm1 0.000 0.000 0.000
Pm2 0.076 0.141 0.500
Pm3 0.141 0.641 0.065
Pm4 0.359 0.424 0.500
Pm5 0.424 0.924 0.065
Pm6 0.500 0.500 0.000
Pm7 0.576 0.076 0.935
Pm8 0.641 0.576 0.500
Pm9 0.859 0.359 0.935
Pm10 0.924 0.859 0.500
Pr1 0.250 0.250 0.000
Pr2 0.750 0.750 0.000
Y1 0.250 0.750 0.500
Y2 0.750 0.250 0.500
# - calculated formation energy (eV per atom) = 0.243
# - Fermi-level density of states (states/eV/cell) = 28.9
# - space group = No. 140

=====

# 3
# LaPmPr2Y2, relaxed, DFT PBE
data_LaPmPr2Y2
_chemical_formula_sum 'La2 Pm2 Pr4 Y4'
_cell_length_a 6.696
_cell_length_b 18.482
_cell_length_c 3.442
_cell_angle_alpha 90.00
_cell_angle_beta 90.00
_cell_angle_gamma 90.00
_space_group_name_H-M_alt 'P 1'
_space_group_IT_number 1
_space_group_name_Hall 'P 1'
loop_
_atom_site_label
_atom_site_fract_x
_atom_site_fract_y
_atom_site_fract_z
La1 0.000 0.000 0.000
La2 0.500 0.500 0.500
Pm1 0.000 0.500 0.000
Pm2 0.500 0.000 0.500
Pr1 0.217 0.187 0.000
Pr2 0.283 0.687 0.500
Pr3 0.717 0.313 0.500
Pr4 0.783 0.813 0.000
Y1 0.214 0.352 0.500
Y2 0.286 0.852 0.000
Y3 0.714 0.148 0.000
Y4 0.786 0.648 0.500
# - calculated formation energy (eV per atom) = 0.258
# - Fermi-level density of states (states/eV/cell) = 23.2
# - space group = No. 58